No. 1
VASP calculation (PBE) on a geometry-optimized BaAlN3 structure.

Cell and atoms, written as POSCAR:
```
BaAlN3
1.0
4.0177 0.0000 0.0000
0.0000 4.0177 0.0000
0.0000 0.0000 4.0177
Ba Al N
1 1 3
Direct
0.0000 0.0000 0.0000
0.5000 0.5000 0.5000
0.0000 0.5000 0.5000
0.5000 0.0000 0.5000
0.5000 0.5000 0.0000
```

Results
- DFT total energy (eV per cell) = -29.4
- calculated volume (A^3/atom) = 12.971
- energy relative to the elements, uncorrected (eV per formula unit) = 1.2
- magnetic moment (μB/atom) = 0.40


No. 2
VASP calculation (PBE) on a geometry-optimized Tl3C structure.

Cell and atoms, written as POSCAR:
```
Tl3C
1.0
3.3254 0.0000 0.0000
0.0000 3.3254 0.0000
0.0000 0.0000 8.7402
Tl C
3 1
Direct
0.0000 0.0000 0.0000
0.5000 0.5000 0.3219
0.5000 0.5000 0.6781
0.0000 0.0000 0.5000
```

Results
- DFT total energy (eV per cell) = -11.6
- energy above the most stable polymorph in this dataset (meV/atom) = 606
- calculated volume (A^3/atom) = 24.163
- magnetic moment (μB/atom) = 0.00


No. 3
VASP calculation (PBE) on a geometry-optimized CdCu2Mo structure.

Cell and atoms, written as POSCAR:
```
CdCu2Mo
1.0
-1.9916 1.9916 3.8764
1.9916 -1.9916 3.8764
1.9916 1.9916 -3.8764
Cd Cu Mo
1 2 1
Direct
0.0000 0.0000 0.0000
0.2500 0.7500 0.5000
0.5000 0.5000 0.0000
0.7500 0.2500 0.5000
```

Results
- DFT total energy (eV per cell) = -17.8
- calculated volume (A^3/atom) = 15.376
- magnetic moment (μB/atom) = 0.41


No. 4
VASP calculation (PBE) on a geometry-optimized Al2TcRh2 structure.

Cell and atoms, written as POSCAR:
```
Al2TcRh2
1.0
7.2129 0.0000 0.0000
0.0000 7.2129 0.0000
0.0000 0.0000 2.7914
Al Tc Rh
4 2 4
Direct
0.1627 0.3373 0.0000
0.3373 0.8373 0.0000
0.6627 0.1627 0.0000
0.8373 0.6627 0.0000
0.0000 0.0000 0.5000
0.5000 0.5000 0.5000
0.1360 0.6360 0.5000
0.3640 0.1360 0.5000
0.6360 0.8640 0.5000
0.8640 0.3640 0.5000
```

Results
- DFT total energy (eV per cell) = -69.1
- energy above the most stable polymorph in this dataset (meV/atom) = 130
- calculated volume (A^3/atom) = 14.523
- magnetic moment (μB/atom) = 0.21


No. 5
VASP calculation (PBE) on a geometry-optimized Ti2SiBr structure.

Cell and atoms, written as POSCAR:
```
Ti2SiBr
1.0
-2.8508 2.8508 5.8820
2.8508 -2.8508 5.8820
2.8508 2.8508 -5.8820
Ti Si Br
4 2 2
Direct
0.1002 0.6250 0.9752
0.3750 0.3502 0.4752
0.6498 0.1250 0.0248
0.8750 0.8998 0.5248
0.0000 0.0000 0.0000
0.7500 0.2500 0.5000
0.2500 0.7500 0.5000
0.5000 0.5000 0.0000
```

Results
- DFT total energy (eV per cell) = -44.1
- energy above the most stable polymorph in this dataset (meV/atom) = 347
- calculated volume (A^3/atom) = 23.901
- energy relative to the elements, uncorrected (eV per formula unit) = 0.8
- magnetic moment (μB/atom) = 0.00


No. 6
VASP calculation (PBE) on a geometry-optimized BaTlH6Ru structure.

Cell and atoms, written as POSCAR:
```
BaTlH6Ru
1.0
5.1936 0.0000 0.0000
-2.5968 4.4978 0.0000
0.0000 0.0000 5.5065
Ba Tl H Ru
1 1 6 1
Direct
0.0000 0.0000 0.0000
0.3333 0.6667 0.5000
0.3907 0.1382 0.6921
0.3907 0.2525 0.3079
0.7475 0.1382 0.3079
0.7475 0.6093 0.6921
0.8618 0.2525 0.6921
0.8618 0.6093 0.3079
0.6667 0.3333 0.5000
```

Results
- DFT total energy (eV per cell) = -34.5
- calculated volume (A^3/atom) = 14.293
- magnetic moment (μB/atom) = 0.00